A) VASP calculation (PBE-GGA) on crystalline Be2Cd2As at its relaxed geometry.

Summary:
V   168.9 Å³/cell
Crystal system   tetragonal
Fermi-level density of states   4.08 states/eV/cell

Unit cell a=7.871 b=7.871 c=2.727 alpha=90.00 beta=90.00 gamma=90.00
Element x y z (fractional)
1 Be 0.100 0.400 0.000
2 Be 0.400 0.900 0.000
3 Be 0.600 0.100 0.000
4 Be 0.900 0.600 0.000
5 Cd 0.191 0.691 0.500
6 Cd 0.309 0.191 0.500
7 Cd 0.691 0.809 0.500
8 Cd 0.809 0.309 0.500
9 As 0.000 0.000 0.500
10 As 0.500 0.500 0.500

=====

B) VASP calculation (PBE-GGA) on crystalline Be2Cd2As at its relaxed geometry.

Summary:
V   83.9 Å³/cell
Crystal system   tetragonal
Fermi-level density of states   1.12 states/eV/cell

Unit cell a=8.836 b=8.836 c=8.836 alpha=159.59 beta=159.59 gamma=29.03
Element x y z (fractional)
1 Be 0.250 0.750 0.500
2 Be 0.750 0.250 0.500
3 Cd 0.123 0.123 0.000
4 Cd 0.877 0.877 0.000
5 As 0.500 0.500 0.000

=====

The structure shown above that is most stable: B).